a) Computed, not measured: a geometry-optimized BaLuAuS3 structure at the PBE level of DFT.

**Crystal system**: orthorhombic
**Space group**: Pnma (62)

a = 12.8098 Å, b = 4.0738 Å, c = 11.1079 Å
α = 90.00°, β = 90.00°, γ = 90.00°
Sites, in units of the cell vectors:
Ba (0.1776, 0.2500, 0.0235)
Ba (0.3224, 0.7500, 0.5235)
Ba (0.6776, 0.2500, 0.4765)
Ba (0.8224, 0.7500, 0.9765)
Lu (0.0196, 0.7500, 0.6595)
Lu (0.4804, 0.2500, 0.1595)
Lu (0.5196, 0.7500, 0.8405)
Lu (0.9804, 0.2500, 0.3405)
Au (0.1975, 0.7500, 0.2673)
Au (0.3025, 0.2500, 0.7673)
Au (0.6975, 0.7500, 0.2327)
Au (0.8025, 0.2500, 0.7327)
S (0.0261, 0.7500, 0.1784)
S (0.1107, 0.2500, 0.5340)
S (0.1949, 0.7500, 0.7991)
S (0.3051, 0.2500, 0.2991)
S (0.3893, 0.7500, 0.0340)
S (0.4739, 0.2500, 0.6784)
S (0.5261, 0.7500, 0.3216)
S (0.6107, 0.2500, 0.9660)
S (0.6949, 0.7500, 0.7009)
S (0.8051, 0.2500, 0.2009)
S (0.8893, 0.7500, 0.4660)
S (0.9739, 0.2500, 0.8216)

=====

b) Computed, not measured: a geometry-optimized BaLuAuS3 structure at the PBE level of DFT.

**Crystal system**: orthorhombic
**Space group**: Cmcm (63)

a = 7.1887 Å, b = 7.1887 Å, c = 10.2244 Å
α = 90.00°, β = 90.00°, γ = 147.11°
Sites, in units of the cell vectors:
Ba (0.2478, 0.7522, 0.7500)
Ba (0.7522, 0.2478, 0.2500)
Lu (0.5000, 0.5000, 0.0000)
Lu (0.5000, 0.5000, 0.5000)
Au (0.0395, 0.9605, 0.2500)
Au (0.9605, 0.0395, 0.7500)
S (0.1321, 0.8679, 0.0438)
S (0.1321, 0.8679, 0.4562)
S (0.4246, 0.5754, 0.2500)
S (0.5754, 0.4246, 0.7500)
S (0.8679, 0.1321, 0.5438)
S (0.8679, 0.1321, 0.9562)

=====

Which is the most stable structure? b) is the most stable.

=====

a) Computed, not measured: a geometry-optimized BaMgScAu structure at the PBE level of DFT.

**Crystal system**: cubic
**Space group**: F-43m (216)

a = 7.3047 Å, b = 7.3047 Å, c = 7.3047 Å
α = 90.00°, β = 90.00°, γ = 90.00°
Sites, in units of the cell vectors:
Ba (0.0000, 0.0000, 0.0000)
Ba (0.0000, 0.5000, 0.5000)
Ba (0.5000, 0.0000, 0.5000)
Ba (0.5000, 0.5000, 0.0000)
Mg (0.2500, 0.2500, 0.7500)
Mg (0.2500, 0.7500, 0.2500)
Mg (0.7500, 0.2500, 0.2500)
Mg (0.7500, 0.7500, 0.7500)
Sc (0.2500, 0.2500, 0.2500)
Sc (0.2500, 0.7500, 0.7500)
Sc (0.7500, 0.2500, 0.7500)
Sc (0.7500, 0.7500, 0.2500)
Au (0.0000, 0.0000, 0.5000)
Au (0.0000, 0.5000, 0.0000)
Au (0.5000, 0.0000, 0.0000)
Au (0.5000, 0.5000, 0.5000)

=====

b) Computed, not measured: a geometry-optimized BaMgScAu structure at the PBE level of DFT.

**Crystal system**: cubic
**Space group**: F-43m (216)

a = 7.4487 Å, b = 7.4487 Å, c = 7.4487 Å
α = 90.00°, β = 90.00°, γ = 90.00°
Sites, in units of the cell vectors:
Ba (0.0000, 0.0000, 0.0000)
Ba (0.0000, 0.5000, 0.5000)
Ba (0.5000, 0.0000, 0.5000)
Ba (0.5000, 0.5000, 0.0000)
Mg (0.0000, 0.0000, 0.5000)
Mg (0.0000, 0.5000, 0.0000)
Mg (0.5000, 0.0000, 0.0000)
Mg (0.5000, 0.5000, 0.5000)
Sc (0.2500, 0.2500, 0.7500)
Sc (0.2500, 0.7500, 0.2500)
Sc (0.7500, 0.2500, 0.2500)
Sc (0.7500, 0.7500, 0.7500)
Au (0.2500, 0.2500, 0.2500)
Au (0.2500, 0.7500, 0.7500)
Au (0.7500, 0.2500, 0.7500)
Au (0.7500, 0.7500, 0.2500)

=====

Which is the most stable structure? a) is the most stable.

=====

a) Computed, not measured: a geometry-optimized BaAuNO structure at the PBE level of DFT.

**Crystal system**: orthorhombic
**Space group**: Pca2_1 (29)

a = 7.0109 Å, b = 7.4079 Å, c = 5.6719 Å
α = 90.00°, β = 90.00°, γ = 90.00°
Sites, in units of the cell vectors:
Ba (0.0815, 0.1866, 0.0000)
Ba (0.4185, 0.1866, 0.5000)
Ba (0.5815, 0.8134, 0.0000)
Ba (0.9185, 0.8134, 0.5000)
Au (0.1382, 0.6360, 0.0192)
Au (0.3618, 0.6360, 0.5192)
Au (0.6382, 0.3640, 0.0192)
Au (0.8618, 0.3640, 0.5192)
N (0.1525, 0.4982, 0.6876)
N (0.3475, 0.4982, 0.1876)
N (0.6525, 0.5018, 0.6876)
N (0.8475, 0.5018, 0.1876)
O (0.0495, 0.1445, 0.4678)
O (0.4505, 0.1445, 0.9678)
O (0.5495, 0.8555, 0.4678)
O (0.9505, 0.8555, 0.9678)

=====

b) Computed, not measured: a geometry-optimized BaAuNO structure at the PBE level of DFT.

**Crystal system**: tetragonal
**Space group**: P4/nmm (129)

a = 4.3268 Å, b = 4.3268 Å, c = 9.3037 Å
α = 90.00°, β = 90.00°, γ = 90.00°
Sites, in units of the cell vectors:
Ba (0.2500, 0.2500, 0.1403)
Ba (0.7500, 0.7500, 0.8597)
Au (0.2500, 0.7500, 0.5000)
Au (0.7500, 0.2500, 0.5000)
N (0.2500, 0.2500, 0.4556)
N (0.7500, 0.7500, 0.5444)
O (0.2500, 0.7500, 0.0000)
O (0.7500, 0.2500, 0.0000)

=====

Which is the most stable structure? a) is the most stable.

=====

a) Computed, not measured: a geometry-optimized BaAuNO structure at the PBE level of DFT.

**Crystal system**: orthorhombic
**Space group**: Pmc2_1 (26)

a = 3.7821 Å, b = 6.2950 Å, c = 6.4048 Å
α = 90.00°, β = 90.00°, γ = 90.00°
Sites, in units of the cell vectors:
Ba (0.0000, 0.1685, 0.0000)
Ba (0.0000, 0.8315, 0.5000)
Au (0.5000, 0.3332, 0.5071)
Au (0.5000, 0.6668, 0.0071)
N (0.0000, 0.3489, 0.5041)
N (0.0000, 0.6511, 0.0041)
O (0.5000, 0.0085, 0.7443)
O (0.5000, 0.9915, 0.2443)

=====

b) Computed, not measured: a geometry-optimized BaAuNO structure at the PBE level of DFT.

**Crystal system**: tetragonal
**Space group**: P4/nmm (129)

a = 5.2402 Å, b = 5.2402 Å, c = 5.1932 Å
α = 90.00°, β = 90.00°, γ = 90.00°
Sites, in units of the cell vectors:
Ba (0.2500, 0.7500, 0.0000)
Ba (0.7500, 0.2500, 0.0000)
Au (0.2500, 0.2500, 0.4692)
Au (0.7500, 0.7500, 0.5308)
N (0.2500, 0.2500, 0.0625)
N (0.7500, 0.7500, 0.9375)
O (0.2500, 0.7500, 0.5000)
O (0.7500, 0.2500, 0.5000)

=====

c) Computed, not measured: a geometry-optimized BaAuNO structure at the PBE level of DFT.

**Crystal system**: orthorhombic
**Space group**: Pca2_1 (29)

a = 7.6101 Å, b = 6.9476 Å, c = 6.0360 Å
α = 90.00°, β = 90.00°, γ = 90.00°
Sites, in units of the cell vectors:
Ba (0.0859, 0.2378, 0.0000)
Ba (0.4141, 0.2378, 0.5000)
Ba (0.5859, 0.7622, 0.0000)
Ba (0.9141, 0.7622, 0.5000)
Au (0.1403, 0.7087, 0.9705)
Au (0.3597, 0.7087, 0.4705)
Au (0.6403, 0.2913, 0.9705)
Au (0.8597, 0.2913, 0.4705)
N (0.0537, 0.1314, 0.5389)
N (0.4463, 0.1314, 0.0389)
N (0.5537, 0.8686, 0.5389)
N (0.9463, 0.8686, 0.0389)
O (0.1874, 0.5191, 0.3534)
O (0.3126, 0.5191, 0.8534)
O (0.6874, 0.4809, 0.3534)
O (0.8126, 0.4809, 0.8534)

=====

Which is the most stable structure? a) is the most stable.

=====

a) Computed, not measured: a geometry-optimized BaNaZrAu structure at the PBE level of DFT.

**Crystal system**: cubic
**Space group**: F-43m (216)

a = 7.6443 Å, b = 7.6443 Å, c = 7.6443 Å
α = 90.00°, β = 90.00°, γ = 90.00°
Sites, in units of the cell vectors:
Ba (0.0000, 0.0000, 0.0000)
Ba (0.0000, 0.5000, 0.5000)
Ba (0.5000, 0.0000, 0.5000)
Ba (0.5000, 0.5000, 0.0000)
Na (0.2500, 0.2500, 0.2500)
Na (0.2500, 0.7500, 0.7500)
Na (0.7500, 0.2500, 0.7500)
Na (0.7500, 0.7500, 0.2500)
Zr (0.0000, 0.0000, 0.5000)
Zr (0.0000, 0.5000, 0.0000)
Zr (0.5000, 0.0000, 0.0000)
Zr (0.5000, 0.5000, 0.5000)
Au (0.2500, 0.2500, 0.7500)
Au (0.2500, 0.7500, 0.2500)
Au (0.7500, 0.2500, 0.2500)
Au (0.7500, 0.7500, 0.7500)

=====

b) Computed, not measured: a geometry-optimized BaNaZrAu structure at the PBE level of DFT.

**Crystal system**: cubic
**Space group**: F-43m (216)

a = 7.3686 Å, b = 7.3686 Å, c = 7.3686 Å
α = 90.00°, β = 90.00°, γ = 90.00°
Sites, in units of the cell vectors:
Ba (0.0000, 0.0000, 0.0000)
Ba (0.0000, 0.5000, 0.5000)
Ba (0.5000, 0.0000, 0.5000)
Ba (0.5000, 0.5000, 0.0000)
Na (0.2500, 0.2500, 0.7500)
Na (0.2500, 0.7500, 0.2500)
Na (0.7500, 0.2500, 0.2500)
Na (0.7500, 0.7500, 0.7500)
Zr (0.2500, 0.2500, 0.2500)
Zr (0.2500, 0.7500, 0.7500)
Zr (0.7500, 0.2500, 0.7500)
Zr (0.7500, 0.7500, 0.2500)
Au (0.0000, 0.0000, 0.5000)
Au (0.0000, 0.5000, 0.0000)
Au (0.5000, 0.0000, 0.0000)
Au (0.5000, 0.5000, 0.5000)

=====

Which is the most stable structure? b) is the most stable.

=====

a) Computed, not measured: a geometry-optimized BaTaNiAu structure at the PBE level of DFT.

**Crystal system**: cubic
**Space group**: F-43m (216)

a = 7.1109 Å, b = 7.1109 Å, c = 7.1109 Å
α = 90.00°, β = 90.00°, γ = 90.00°
Sites, in units of the cell vectors:
Ba (0.0000, 0.0000, 0.0000)
Ba (0.0000, 0.5000, 0.5000)
Ba (0.5000, 0.0000, 0.5000)
Ba (0.5000, 0.5000, 0.0000)
Ta (0.0000, 0.0000, 0.5000)
Ta (0.0000, 0.5000, 0.0000)
Ta (0.5000, 0.0000, 0.0000)
Ta (0.5000, 0.5000, 0.5000)
Ni (0.2500, 0.2500, 0.2500)
Ni (0.2500, 0.7500, 0.7500)
Ni (0.7500, 0.2500, 0.7500)
Ni (0.7500, 0.7500, 0.2500)
Au (0.2500, 0.2500, 0.7500)
Au (0.2500, 0.7500, 0.2500)
Au (0.7500, 0.2500, 0.2500)
Au (0.7500, 0.7500, 0.7500)

=====

b) Computed, not measured: a geometry-optimized BaTaNiAu structure at the PBE level of DFT.

**Crystal system**: cubic
**Space group**: F-43m (216)

a = 6.9181 Å, b = 6.9181 Å, c = 6.9181 Å
α = 90.00°, β = 90.00°, γ = 90.00°
Sites, in units of the cell vectors:
Ba (0.0000, 0.0000, 0.0000)
Ba (0.0000, 0.5000, 0.5000)
Ba (0.5000, 0.0000, 0.5000)
Ba (0.5000, 0.5000, 0.0000)
Ta (0.2500, 0.2500, 0.7500)
Ta (0.2500, 0.7500, 0.2500)
Ta (0.7500, 0.2500, 0.2500)
Ta (0.7500, 0.7500, 0.7500)
Ni (0.0000, 0.0000, 0.5000)
Ni (0.0000, 0.5000, 0.0000)
Ni (0.5000, 0.0000, 0.0000)
Ni (0.5000, 0.5000, 0.5000)
Au (0.2500, 0.2500, 0.2500)
Au (0.2500, 0.7500, 0.7500)
Au (0.7500, 0.2500, 0.7500)
Au (0.7500, 0.7500, 0.2500)

=====

c) Computed, not measured: a geometry-optimized BaTaNiAu structure at the PBE level of DFT.

**Crystal system**: cubic
**Space group**: F-43m (216)

a = 6.7953 Å, b = 6.7953 Å, c = 6.7953 Å
α = 90.00°, β = 90.00°, γ = 90.00°
Sites, in units of the cell vectors:
Ba (0.0000, 0.0000, 0.0000)
Ba (0.0000, 0.5000, 0.5000)
Ba (0.5000, 0.0000, 0.5000)
Ba (0.5000, 0.5000, 0.0000)
Ta (0.2500, 0.2500, 0.2500)
Ta (0.2500, 0.7500, 0.7500)
Ta (0.7500, 0.2500, 0.7500)
Ta (0.7500, 0.7500, 0.2500)
Ni (0.2500, 0.2500, 0.7500)
Ni (0.2500, 0.7500, 0.2500)
Ni (0.7500, 0.2500, 0.2500)
Ni (0.7500, 0.7500, 0.7500)
Au (0.0000, 0.0000, 0.5000)
Au (0.0000, 0.5000, 0.0000)
Au (0.5000, 0.0000, 0.0000)
Au (0.5000, 0.5000, 0.5000)

=====

Which is the most stable structure? a) is the most stable.